Computed, not measured: CaTbSmTh after structural relaxation at the PBE-GGA level of DFT.

Structure (CIF):
```
data_CaTbSmTh
_symmetry_space_group_name_H-M 'P 1'
_symmetry_Int_Tables_number 1
_cell_length_a 5.780
_cell_length_b 5.780
_cell_length_c 5.780
_cell_angle_alpha 60.00
_cell_angle_beta 60.00
_cell_angle_gamma 60.00
loop_
_symmetry_equiv_pos_as_xyz
'x,y,z'
loop_
_atom_site_label
_atom_site_type_symbol
_atom_site_fract_x
_atom_site_fract_y
_atom_site_fract_z
Ca1 Ca 0.250 0.250 0.250
Sm1 Sm 0.000 0.000 0.000
Th1 Th 0.750 0.750 0.750
Tb1 Tb 0.500 0.500 0.500
```

## Properties
The calculation puts the formation energy at 0.9 eV/f.u. Its space-group type is F-43m (216). The value obtained for the calculated total energy is -17.86 eV per formula unit.


Computed, not measured: CaTbSmTl after structural relaxation at the PBE-GGA level of DFT.

Structure (CIF):
```
data_CaTbSmTl
_symmetry_space_group_name_H-M 'P 1'
_symmetry_Int_Tables_number 1
_cell_length_a 5.559
_cell_length_b 5.559
_cell_length_c 5.559
_cell_angle_alpha 60.00
_cell_angle_beta 60.00
_cell_angle_gamma 60.00
loop_
_symmetry_equiv_pos_as_xyz
'x,y,z'
loop_
_atom_site_label
_atom_site_type_symbol
_atom_site_fract_x
_atom_site_fract_y
_atom_site_fract_z
Tl1 Tl 0.000 0.000 0.000
Sm1 Sm 0.250 0.250 0.250
Ca1 Ca 0.500 0.500 0.500
Tb1 Tb 0.750 0.750 0.750
```

## Properties
The calculation puts the formation energy at -0.3 eV/f.u. Its space-group type is F-43m (216). The value obtained for the calculated total energy is -14.00 eV per formula unit.


Computed, not measured: CaTbSmTm after structural relaxation at the PBE-GGA level of DFT.

Structure (CIF):
```
data_CaTbSmTm
_symmetry_space_group_name_H-M 'P 1'
_symmetry_Int_Tables_number 1
_cell_length_a 5.752
_cell_length_b 5.752
_cell_length_c 5.752
_cell_angle_alpha 60.00
_cell_angle_beta 60.00
_cell_angle_gamma 60.00
loop_
_symmetry_equiv_pos_as_xyz
'x,y,z'
loop_
_atom_site_label
_atom_site_type_symbol
_atom_site_fract_x
_atom_site_fract_y
_atom_site_fract_z
Tm1 Tm 0.750 0.750 0.750
Ca1 Ca 0.250 0.250 0.250
Sm1 Sm 0.500 0.500 0.500
Tb1 Tb 0.000 0.000 0.000
```

## Properties
The calculation puts the formation energy at 0.6 eV/f.u. Its space-group type is F-43m (216). The value obtained for the calculated total energy is -15.25 eV per formula unit.


Computed, not measured: CaTb3Sm2Y6 after structural relaxation at the PBE-GGA level of DFT.

Structure (CIF):
```
data_CaTb3Sm2Y6
_symmetry_space_group_name_H-M 'P 1'
_symmetry_Int_Tables_number 1
_cell_length_a 6.234
_cell_length_b 6.234
_cell_length_c 11.921
_cell_angle_alpha 94.99
_cell_angle_beta 94.99
_cell_angle_gamma 119.99
loop_
_symmetry_equiv_pos_as_xyz
'x,y,z'
loop_
_atom_site_label
_atom_site_type_symbol
_atom_site_fract_x
_atom_site_fract_y
_atom_site_fract_z
Y1 Y 0.577 0.914 0.746
Y2 Y 0.748 0.748 0.255
Y3 Y 0.086 0.423 0.254
Y4 Y 0.423 0.086 0.254
Y5 Y 0.914 0.577 0.746
Y6 Y 0.252 0.252 0.745
Sm1 Sm 0.333 0.667 0.000
Sm2 Sm 0.667 0.333 0.000
Tb1 Tb 0.166 0.834 0.500
Tb2 Tb 0.500 0.500 0.500
Tb3 Tb 0.834 0.166 0.500
Ca1 Ca 0.000 0.000 0.000
```

## Properties
The calculation puts the formation energy at 0.6 eV/f.u. Its space-group type is C2/m (12). The value obtained for the calculated total energy is -63.55 eV per formula unit.


Computed, not measured: CaTb2Sm6Y after structural relaxation at the PBE-GGA level of DFT.

Structure (CIF):
```
data_CaTb2Sm6Y
_symmetry_space_group_name_H-M 'P 1'
_symmetry_Int_Tables_number 1
_cell_length_a 9.846
_cell_length_b 8.974
_cell_length_c 8.974
_cell_angle_alpha 118.87
_cell_angle_beta 94.40
_cell_angle_gamma 94.40
loop_
_symmetry_equiv_pos_as_xyz
'x,y,z'
loop_
_atom_site_label
_atom_site_type_symbol
_atom_site_fract_x
_atom_site_fract_y
_atom_site_fract_z
Sm1 Sm 0.823 0.429 0.970
Sm2 Sm 0.177 0.571 0.030
Sm3 Sm 0.677 0.030 0.571
Sm4 Sm 0.449 0.238 0.882
Sm5 Sm 0.949 0.882 0.238
Sm6 Sm 0.876 0.286 0.498
Sm7 Sm 0.051 0.118 0.762
Sm8 Sm 0.323 0.970 0.429
Sm9 Sm 0.624 0.502 0.714
Sm10 Sm 0.376 0.498 0.286
Sm11 Sm 0.551 0.762 0.118
Sm12 Sm 0.124 0.714 0.502
Tb1 Tb 0.542 0.198 0.302
Tb2 Tb 0.958 0.698 0.802
Tb3 Tb 0.042 0.302 0.198
Tb4 Tb 0.458 0.802 0.698
Y1 Y 0.250 0.976 0.024
Y2 Y 0.750 0.024 0.976
Ca1 Ca 0.250 0.402 0.598
Ca2 Ca 0.750 0.598 0.402
```

## Properties
The calculation puts the formation energy at 1.4 eV/f.u. Its space-group type is C2/c (15). The value obtained for the calculated total energy is -44.69 eV per formula unit.


Computed, not measured: CaTb6Sm3Y2 after structural relaxation at the PBE-GGA level of DFT.

Structure (CIF):
```
data_CaTb6Sm3Y2
_symmetry_space_group_name_H-M 'P 1'
_symmetry_Int_Tables_number 1
_cell_length_a 6.242
_cell_length_b 6.242
_cell_length_c 11.922
_cell_angle_alpha 94.98
_cell_angle_beta 94.98
_cell_angle_gamma 120.01
loop_
_symmetry_equiv_pos_as_xyz
'x,y,z'
loop_
_atom_site_label
_atom_site_type_symbol
_atom_site_fract_x
_atom_site_fract_y
_atom_site_fract_z
Sm1 Sm 0.166 0.834 0.500
Sm2 Sm 0.834 0.166 0.500
Sm3 Sm 0.500 0.500 0.500
Y1 Y 0.333 0.667 0.000
Y2 Y 0.667 0.333 0.000
Tb1 Tb 0.084 0.424 0.252
Tb2 Tb 0.424 0.084 0.252
Tb3 Tb 0.746 0.746 0.252
Tb4 Tb 0.576 0.916 0.748
Tb5 Tb 0.916 0.576 0.748
Tb6 Tb 0.254 0.254 0.748
Ca1 Ca 0.000 0.000 0.000
```

## Properties
The calculation puts the formation energy at 0.6 eV/f.u. Its space-group type is C2/m (12). The value obtained for the calculated total energy is -56.29 eV per formula unit.